# 1
CrReTcPt2 | GGA-PBE | relaxed

The structure belongs to space group P4/mmm (No. 123); the cell edges are 4.755, 4.755 and 4.194 Å and the angles 90.00°, 90.00° and 90.00°. Symmetry generates all atoms from Cr at (0.000, 0.000, 0.000), Re at (0.500, 0.500, 0.000), Tc at (0.000, 0.000, 0.500) and Pt at (0.000, 0.500, 0.500).

The crystal system is tetragonal. As for the calculated formation energy: 1.90 eV per atom.

***

# 2
CrReTePt2 | GGA-PBE | relaxed

The structure belongs to space group P4/mmm (No. 123); the cell edges are 4.905, 4.905 and 4.675 Å and the angles 90.00°, 90.00° and 90.00°. Symmetry generates all atoms from Cr at (0.000, 0.000, 0.000), Re at (0.500, 0.500, 0.000), Te at (0.000, 0.000, 0.500) and Pt at (0.000, 0.500, 0.500).

The value obtained for the formation energy from raw total energies is 1.88 eV/atom. The crystal system is tetragonal.

***

# 3
CrReTe2Pt | GGA-PBE | relaxed

The structure belongs to space group P4/mmm (No. 123); the cell edges are 4.874, 4.874 and 4.556 Å and the angles 90.00°, 90.00° and 90.00°. Symmetry generates all atoms from Cr at (0.000, 0.000, 0.000), Re at (0.000, 0.000, 0.500), Te at (0.000, 0.500, 0.000) and Pt at (0.500, 0.500, 0.500).

The value obtained for the formation energy from raw total energies is 1.32 eV/atom. The crystal system is tetragonal.

***

# 4
CrPtRh2 | GGA-PBE | relaxed

The structure belongs to space group Cmmm (No. 65); the cell edges are 5.438, 7.596 and 2.768 Å and the angles 90.00°, 90.00° and 90.00°. Symmetry generates all atoms from Cr at (0.000, 0.000, 0.000), Pt at (0.000, 0.500, 0.000) and Rh at (0.250, 0.250, 0.500).

The crystal system is orthorhombic. As for the calculated formation energy: -0.10 eV per atom.

***

# 5
CrPtRh6 | GGA-PBE | relaxed

The structure belongs to space group P4/mmm (No. 123); the cell edges are 3.832, 3.832 and 7.686 Å and the angles 90.00°, 90.00° and 90.00°. Symmetry generates all atoms from Cr at (0.000, 0.000, 0.000), Pt at (0.000, 0.000, 0.500), Rh at (0.000, 0.500, 0.241), Rh at (0.500, 0.500, 0.000) and Rh at (0.500, 0.500, 0.500).

The crystal system is tetragonal. As for the calculated formation energy: -0.09 eV per atom.

***

# 6
CrPtRh | GGA-PBE | relaxed

The structure belongs to space group C2/m (No. 12); the cell edges are 11.593, 2.704 and 5.462 Å and the angles 90.00°, 103.67° and 90.00°. Symmetry generates all atoms from Cr at (0.002, 0.000, 0.278), Pt at (0.153, 0.500, 0.078) and Rh at (0.157, 0.500, 0.581).

The crystal system is monoclinic. As for the calculated formation energy: -0.21 eV per atom. The energy above the most stable polymorph in this dataset comes out at 0.0000 eV/atom.

***

| no. | D(E_F) (states/eV/cell) | total energy (eV per atom) | M_tot (μB/f.u.) |
| --- | --- | --- | --- |
| 1 | 8.78 | -7.001 | 0.000 |
| 2 | 5.42 | -5.581 | 3.813 |
| 3 | 6.75 | -5.559 | 0.562 |
| 4 | 7.67 | -7.688 | 2.263 |
| 5 | 8.69 | -7.557 | 0.868 |
| 6 | 12.19 | -7.877 | 0.239 |